Here is an optimized crystal structure of KNaSb from the Alexandria database. Energies are from GGA-PBE. Values from VASP.

```
&SYSTEM
  ibrav = 0, nat = 3, ntyp = 3
/
ATOMIC_SPECIES
Sb 121.76 Sb.upf
K 39.10 K.upf
Na 22.99 Na.upf
ATOMIC_POSITIONS crystal
Sb 0.0000 0.0000 0.0000
K 0.5000 0.5000 0.5000
Na 0.2500 0.2500 0.2500
CELL_PARAMETERS angstrom
5.3999 0.0000 0.0000
2.7000 4.6765 0.0000
2.7000 1.5588 4.4090
```

Results
Uncorrected formation energy in eV per atom: -0.14
Polymorph energy (0 for the lowest one) in eV/atom: 0.200
N(E_F) in states/eV/cell: 3.56